GaFePt2 | PBE | relaxed

## Properties
DOS at the Fermi energy, states/eV/atom: 0.5360
Final energy, eV per atom: -5.9572
Energy relative to the elements, kJ/mol of atoms: -6.21

Cell: 3.885 3.885 17.248 Å, 90.00 90.00 90.00°
Space group I-42d (No. 122)
Symmetry-distinct sites (fractional):
Ga 0.000 0.000 0.000 (multiplicity 4)
Fe 0.000 0.000 0.500 (multiplicity 4)
Pt 0.247 0.250 0.625 (multiplicity 8)